[1]
## La2SiOsC (PBE)

Data for a relaxed structure of La2SiOsC.

The space group is P4/mmm (No. 123) and the conventional cell measures 5.279, 5.279 and 3.937 Å, with angles of 90.00, 90.00 and 90.00 degrees. The inequivalent atoms are La at (0.000, 0.500, 0.000), Si at (0.000, 0.000, 0.500), Os at (0.500, 0.500, 0.500) and C at (0.500, 0.500, 0.000).

The calculation puts the density at 7.7 Mg/m³. The excess energy over the best structure of this formula in the dataset comes out at 0.140 eV/atom. The calculation puts the energy relative to the elements, uncorrected at -0.241 eV per atom.

[2]
## La2SiOsC (PBE)

Data for a relaxed structure of La2SiOsC.

The space group is P2_1/m (No. 11) and the conventional cell measures 6.497, 4.182 and 8.939 Å, with angles of 90.00, 109.95 and 90.00 degrees. The inequivalent atoms are La at (0.208, 0.250, 0.391), La at (0.230, 0.250, 0.970), Si at (0.317, 0.750, 0.698), Os at (0.494, 0.750, 0.254) and C at (0.188, 0.750, 0.175).

The calculation puts the density at 7.4 Mg/m³. The excess energy over the best structure of this formula in the dataset comes out at 0.000 eV/atom. The calculation puts the energy relative to the elements, uncorrected at -0.382 eV per atom.

[3]
## La2SmOsC2 (PBE)

Data for a relaxed structure of La2SmOsC2.

The space group is Pnnm (No. 58) and the conventional cell measures 5.839, 11.437 and 3.930 Å, with angles of 90.00, 90.00 and 90.00 degrees. The inequivalent atoms are La at (0.041, 0.206, 0.000), Sm at (0.000, 0.500, 0.500), Os at (0.000, 0.000, 0.500) and C at (0.233, 0.603, 0.000).

The calculation puts the density at 8.1 Mg/m³. The formation energy from the elements is -0.03 eV per atom.

[4]
## SrLa2OsC (PBE)

Data for a relaxed structure of SrLa2OsC.

The space group is P4/mmm (No. 123) and the conventional cell measures 5.494, 5.494 and 4.039 Å, with angles of 90.00, 90.00 and 90.00 degrees. The inequivalent atoms are Sr at (0.000, 0.000, 0.000), La at (0.000, 0.500, 0.500), Os at (0.500, 0.500, 0.000) and C at (0.500, 0.500, 0.500).

The calculation puts the density at 7.7 Mg/m³. The formation energy from the elements is 0.07 eV per atom.

[5]
## La2TbOsC2 (PBE)

Data for a relaxed structure of La2TbOsC2.

The space group is Pnnm (No. 58) and the conventional cell measures 5.789, 11.408 and 3.883 Å, with angles of 90.00, 90.00 and 90.00 degrees. The inequivalent atoms are La at (0.048, 0.207, 0.000), Tb at (0.000, 0.500, 0.500), Os at (0.000, 0.000, 0.500) and C at (0.226, 0.601, 0.000).

The calculation puts the density at 8.4 Mg/m³. The formation energy from the elements is -0.04 eV per atom.

[6]
## La2TeOsC (PBE)

Data for a relaxed structure of La2TeOsC.

The space group is P4/mmm (No. 123) and the conventional cell measures 5.468, 5.468 and 3.935 Å, with angles of 90.00, 90.00 and 90.00 degrees. The inequivalent atoms are La at (0.000, 0.500, 0.000), Te at (0.000, 0.000, 0.500), Os at (0.500, 0.500, 0.500) and C at (0.500, 0.500, 0.000).

The calculation puts the density at 8.6 Mg/m³. The calculation puts the energy relative to the elements, uncorrected at -0.627 eV per atom.

[7]
## LaTh2OsC4 (PBE)

Data for a relaxed structure of LaTh2OsC4.

The space group is Cmcm (No. 63) and the conventional cell measures 3.667, 12.432 and 12.735 Å, with angles of 90.00, 90.00 and 90.00 degrees. The inequivalent atoms are La at (0.000, 0.088, 0.250), Th at (0.000, 0.368, 0.042), Os at (0.000, 0.172, 0.750), C at (0.000, 0.000, 0.000), C at (0.000, 0.263, 0.630) and C at (0.000, 0.408, 0.250).

The calculation puts the density at 9.6 Mg/m³. The formation energy from the elements is -0.04 eV per atom.

[8]
## La2TlOsC (PBE)

Data for a relaxed structure of La2TlOsC.

The space group is P4/mmm (No. 123) and the conventional cell measures 5.449, 5.449 and 3.955 Å, with angles of 90.00, 90.00 and 90.00 degrees. The inequivalent atoms are La at (0.000, 0.500, 0.000), Tl at (0.000, 0.000, 0.500), Os at (0.500, 0.500, 0.500) and C at (0.500, 0.500, 0.000).

The calculation puts the density at 9.7 Mg/m³. The formation energy from the elements is -0.26 eV per atom.

[9]
## LaU2OsC4 (PBE)

Data for a relaxed structure of LaU2OsC4.

The space group is Cmcm (No. 63) and the conventional cell measures 3.577, 11.814 and 11.932 Å, with angles of 90.00, 90.00 and 90.00 degrees. The inequivalent atoms are La at (0.000, 0.098, 0.250), U at (0.000, 0.370, 0.047), Os at (0.000, 0.162, 0.750), C at (0.000, 0.000, 0.000), C at (0.000, 0.253, 0.610) and C at (0.000, 0.427, 0.250).

The calculation puts the density at 11.2 Mg/m³. The formation energy from the elements is -0.06 eV per atom.

[10]
## La2YOsC2 (PBE)

Data for a relaxed structure of La2YOsC2.

The space group is Pnnm (No. 58) and the conventional cell measures 5.770, 11.442 and 3.868 Å, with angles of 90.00, 90.00 and 90.00 degrees. The inequivalent atoms are La at (0.049, 0.207, 0.000), Y at (0.000, 0.500, 0.500), Os at (0.000, 0.000, 0.500) and C at (0.225, 0.601, 0.000).

The calculation puts the density at 7.6 Mg/m³. The formation energy from the elements is -0.04 eV per atom.

[11]
## La2YOsC (PBE)

Data for a relaxed structure of La2YOsC.

The space group is P4/mmm (No. 123) and the conventional cell measures 5.443, 5.443 and 3.968 Å, with angles of 90.00, 90.00 and 90.00 degrees. The inequivalent atoms are La at (0.000, 0.500, 0.000), Y at (0.000, 0.000, 0.500), Os at (0.500, 0.500, 0.500) and C at (0.500, 0.500, 0.000).

The calculation puts the density at 8.0 Mg/m³. The formation energy from the elements is -0.04 eV per atom.

Q: What is the formula in the seventh record?
A: LaTh2OsC4